{
  "formula": "FeH3F",
  "functional": "PBE with a Hubbard U",
  "state": "optimized geometry",
  "lattice": [[-2.298, 2.477, 0.223], [-1.778, -1.849, 2.212], [1.740, 1.384, 2.555]],
  "species": ["Fe", "F", "H", "H", "H"],
  "fractional_positions": [[0.000, 0.000, 0.000], [0.500, 0.500, 0.500], [0.000, 0.500, 0.000], [0.500, 0.000, 0.000], [0.000, 0.000, 0.500]],
  "vol_a3_per_fu": 38.8,
  "rho_g_cm3": 3.33,
  "e_tot_ev_per_atom": -3.252,
  "spacegroup": "No. 221"
}